Entry from Alexandria: a relaxed Pr3Np2Ru4 crystal (GGA-PBE).

Results
As for the calculated total energy: -158.4 eV per cell.

Cell lengths 11.3662, 4.2326, 9.0017 Å; angles 90.00, 102.18, 90.00 degrees
Space group C2/m (No. 12)
Unique sites:
Pr (0.0000, 0.0000, 0.0000) x2
Pr (0.1248, 0.5000, 0.3846) x4
Np (0.1720, 0.5000, 0.7817) x4
Ru (0.0884, 0.0000, 0.6416) x4
Ru (0.2237, 0.5000, 0.0928) x4